# 1
The following is a DFT calculation (PBE) of an optimized crystal structure of GaBiSb3.

Results
**Relative energy among the computed polymorphs**: 0.000 eV per atom
**Fermi-level density of states**: 5.15 states/eV/cell
**ρ**: 7.07 g/cm³

a = 5.327 Å, b = 5.327 Å, c = 5.327 Å
α = 90.00°, β = 90.00°, γ = 90.00°
Space group Pm-3m (No. 221)
Symmetry-distinct sites (fractional):
Ga 0.000 0.000 0.000
Bi 0.500 0.500 0.500
Sb 0.000 0.000 0.500

---

# 2
The following is a DFT calculation (PBE) of an optimized crystal structure of Cs2FeBCl6.

Results
**Fermi-level density of states**: 0.02 states/eV/cell
**ρ**: 3.07 g/cm³

a = 7.371 Å, b = 7.371 Å, c = 10.865 Å
α = 90.00°, β = 90.00°, γ = 90.00°
Space group I4/mmm (No. 139)
Symmetry-distinct sites (fractional):
Cs 0.000 0.500 0.250
Fe 0.000 0.000 0.000
B 0.000 0.000 0.500
Cl 0.000 0.000 0.201
Cl 0.193 0.193 0.500

---

Here are the calculated uncorrected energy numbers, same order: -3.3561, -3.6639 (eV/atom).
Here are the calculated formation energy from raw total energies numbers, same order: 0.4989, -0.8712 (eV per atom).